Entry 1:
NiAsAu after structural relaxation. Source: Alexandria via LeMat-Bulk, functional PBEsol.

## Properties
Distance to the lowest polymorph of the same formula   0.000 eV/atom
D(E_F)   0.4510 states/eV per atom
Crystal system   trigonal
Energy of formation from the pure elements   0.008 eV per atom
Electronic total energy   -5.054 eV/atom

a b c (Å): 2.9501 2.9501 6.0847
angles (deg): 90.00 90.00 120.00
Last column: nearest neighbours and their distance in Å.
Fractional positions:
Ni 0.0000 0.0000 0.0000  3 As 2.31
As 0.6667 0.3333 0.7424  3 Ni 2.31
Au 0.3333 0.6667 0.3336  3 Ni 2.65, 6 Au 2.95


Entry 2:
NiAsAu2 after structural relaxation. Source: Alexandria via LeMat-Bulk, functional PBEsol.

## Properties
D(E_F)   0.8149 states/eV per atom
Crystal system   trigonal
Energy of formation from the pure elements   0.219 eV per atom
Electronic total energy   -4.559 eV/atom

a b c (Å): 2.8851 2.8851 26.2776
angles (deg): 90.00 90.00 120.00
Last column: nearest neighbours and their distance in Å.
Fractional positions:
Ni 0.0000 0.0000 0.0000  6 Au 2.62, 6 Ni 2.89
Ni 0.3333 0.6667 0.6667  6 Au 2.62, 6 Ni 2.89
Ni 0.6667 0.3333 0.3333  6 Au 2.62, 6 Ni 2.89
As 0.0000 0.0000 0.5000  6 As 2.89, 6 Au 2.89
As 0.3333 0.6667 0.1667  6 As 2.89, 6 Au 2.89
As 0.6667 0.3333 0.8333  6 As 2.89, 6 Au 2.89
Au 0.0000 0.0000 0.2564  3 Ni 2.62, 6 Au 2.89, 3 As 2.89
Au 0.0000 0.0000 0.7436  3 Ni 2.62, 6 Au 2.89, 3 As 2.89
Au 0.3333 0.6667 0.4102  3 Ni 2.62, 6 Au 2.89, 3 As 2.89
Au 0.3333 0.6667 0.9231  3 Ni 2.62, 6 Au 2.89, 3 As 2.89
Au 0.6667 0.3333 0.0769  3 Ni 2.62, 6 Au 2.89, 3 As 2.89
Au 0.6667 0.3333 0.5898  3 Ni 2.62, 6 Au 2.89, 3 As 2.89


- Which of these has the lowest energy of formation from the pure elements?
  NiAsAu


Repeat the second record exactly.
NiAsAu2 after structural relaxation. Source: Alexandria via LeMat-Bulk, functional PBEsol.

## Properties
D(E_F)   0.8149 states/eV per atom
Crystal system   trigonal
Energy of formation from the pure elements   0.219 eV per atom
Electronic total energy   -4.559 eV/atom

a b c (Å): 2.8851 2.8851 26.2776
angles (deg): 90.00 90.00 120.00
Last column: nearest neighbours and their distance in Å.
Fractional positions:
Ni 0.0000 0.0000 0.0000  6 Au 2.62, 6 Ni 2.89
Ni 0.3333 0.6667 0.6667  6 Au 2.62, 6 Ni 2.89
Ni 0.6667 0.3333 0.3333  6 Au 2.62, 6 Ni 2.89
As 0.0000 0.0000 0.5000  6 As 2.89, 6 Au 2.89
As 0.3333 0.6667 0.1667  6 As 2.89, 6 Au 2.89
As 0.6667 0.3333 0.8333  6 As 2.89, 6 Au 2.89
Au 0.0000 0.0000 0.2564  3 Ni 2.62, 6 Au 2.89, 3 As 2.89
Au 0.0000 0.0000 0.7436  3 Ni 2.62, 6 Au 2.89, 3 As 2.89
Au 0.3333 0.6667 0.4102  3 Ni 2.62, 6 Au 2.89, 3 As 2.89
Au 0.3333 0.6667 0.9231  3 Ni 2.62, 6 Au 2.89, 3 As 2.89
Au 0.6667 0.3333 0.0769  3 Ni 2.62, 6 Au 2.89, 3 As 2.89
Au 0.6667 0.3333 0.5898  3 Ni 2.62, 6 Au 2.89, 3 As 2.89


What did the second record say?
NiAsAu2 after structural relaxation. Source: Alexandria via LeMat-Bulk, functional PBEsol.

## Properties
D(E_F)   0.8149 states/eV per atom
Crystal system   trigonal
Energy of formation from the pure elements   0.219 eV per atom
Electronic total energy   -4.559 eV/atom

a b c (Å): 2.8851 2.8851 26.2776
angles (deg): 90.00 90.00 120.00
Last column: nearest neighbours and their distance in Å.
Fractional positions:
Ni 0.0000 0.0000 0.0000  6 Au 2.62, 6 Ni 2.89
Ni 0.3333 0.6667 0.6667  6 Au 2.62, 6 Ni 2.89
Ni 0.6667 0.3333 0.3333  6 Au 2.62, 6 Ni 2.89
As 0.0000 0.0000 0.5000  6 As 2.89, 6 Au 2.89
As 0.3333 0.6667 0.1667  6 As 2.89, 6 Au 2.89
As 0.6667 0.3333 0.8333  6 As 2.89, 6 Au 2.89
Au 0.0000 0.0000 0.2564  3 Ni 2.62, 6 Au 2.89, 3 As 2.89
Au 0.0000 0.0000 0.7436  3 Ni 2.62, 6 Au 2.89, 3 As 2.89
Au 0.3333 0.6667 0.4102  3 Ni 2.62, 6 Au 2.89, 3 As 2.89
Au 0.3333 0.6667 0.9231  3 Ni 2.62, 6 Au 2.89, 3 As 2.89
Au 0.6667 0.3333 0.0769  3 Ni 2.62, 6 Au 2.89, 3 As 2.89
Au 0.6667 0.3333 0.5898  3 Ni 2.62, 6 Au 2.89, 3 As 2.89